VASP calculation (GGA-PBE) on an optimized crystal structure of Rb2HgSbPd.

Unit cell a=6.6130 b=6.6130 c=5.0220 alpha=90.00 beta=90.00 gamma=90.00
Space group P4/mmm (No. 123)
Unique sites:
Rb 0.0000 0.5000 0.0000 [2 per cell]
Hg 0.0000 0.0000 0.5000 [1 per cell]
Sb 0.5000 0.5000 0.5000 [1 per cell]
Pd 0.5000 0.5000 0.0000 [1 per cell]

The value obtained for the uncorrected formation energy is -0.238 eV/atom. The total magnetization comes out at 0.00 Bohr magnetons per cell.

VASP calculation (GGA-PBE) on an optimized crystal structure of RbHg2PdSe.

Unit cell a=5.3529 b=5.3529 c=5.2401 alpha=90.00 beta=90.00 gamma=90.00
Space group P4/mmm (No. 123)
Unique sites:
Rb 0.0000 0.0000 0.0000 [1 per cell]
Hg 0.0000 0.5000 0.5000 [2 per cell]
Pd 0.5000 0.5000 0.5000 [1 per cell]
Se 0.5000 0.5000 0.0000 [1 per cell]

The value obtained for the uncorrected formation energy is -0.351 eV/atom. The total magnetization comes out at 0.00 Bohr magnetons per cell.

VASP calculation (GGA-PBE) on an optimized crystal structure of RbHgPdSe2.

Unit cell a=7.4946 b=4.7301 c=7.9156 alpha=90.00 beta=93.62 gamma=90.00
Space group P2/c (No. 13)
Unique sites:
Rb 0.0000 0.0604 0.2500 [2 per cell]
Hg 0.5000 0.0000 0.0000 [2 per cell]
Pd 0.5000 0.4990 0.7500 [2 per cell]
Se 0.2714 0.4115 0.9864 [4 per cell]

The value obtained for the uncorrected formation energy is -0.446 eV/atom. The total magnetization comes out at 1.00 Bohr magnetons per cell.

VASP calculation (GGA-PBE) on an optimized crystal structure of Rb2SnHg6Pd.

Unit cell a=11.2110 b=11.2173 c=7.8453 alpha=90.00 beta=134.36 gamma=90.00
Space group C2/m (No. 12)
Unique sites:
Rb 0.0000 0.2441 0.0000 [4 per cell]
Sn 0.0000 0.0000 0.5000 [2 per cell]
Hg 0.0000 0.2606 0.5000 [4 per cell]
Hg 0.2230 0.5000 0.4669 [4 per cell]
Hg 0.2443 0.5000 0.9785 [4 per cell]
Pd 0.0000 0.5000 0.5000 [2 per cell]

The total magnetization comes out at 0.00 Bohr magnetons per cell. As for the formation energy from the elements: -0.1788 eV per atom.